# KNaPd3 (PBE, relaxed)
data_KNaPd3
_chemical_formula_sum 'K1 Na1 Pd3'
_symmetry_space_group_name_H-M 'P m -3 m'
_symmetry_Int_Tables_number 221
_symmetry_space_group_name_Hall '-P 4 2 3'
_cell_length_a 5.179
_cell_length_b 5.179
_cell_length_c 5.179
_cell_angle_alpha 90.00
_cell_angle_beta 90.00
_cell_angle_gamma 90.00
loop_
_atom_site_label
_atom_site_fract_x
_atom_site_fract_y
_atom_site_fract_z
_atom_site_occupancy
K1 0.000 0.000 0.000 1
Na1 0.500 0.500 0.500 1
Pd1 0.000 0.000 0.500 1
# Energy ... -2.58 eV/atom
# Relative energy among the computed polymorphs ... 4.89 eV/f.u.
# E_form ... 1.014 eV/atom
# Magnetization ... 0.00 μB per formula unit